# 1
Density functional theory data (PBE) for an optimized crystal structure of Cs3Na2CaCl6.

```
Cs3Na2CaCl6
1.0
-4.730 2.752 -5.592
2.525 -7.400 -0.304
-7.234 -2.666 4.807
Cs Na Ca Cl
3 2 1 6
Cartesian
-4.416 -5.683 0.939
-5.023 -1.631 -2.028
0.000 0.000 0.000
-8.281 -2.832 0.137
-1.159 -4.482 -1.226
-3.617 -1.333 2.404
-3.384 -5.189 -2.507
-2.250 -2.798 0.526
-0.951 -6.605 0.370
-7.190 -4.515 -1.615
-6.055 -2.125 1.418
-8.489 -0.709 -1.458
```

## Properties
DOS at the Fermi energy (states/eV per atom): 0.177
Space group: P-3m1
Formation energy from raw total energies (eV per atom): -1.8202
Total energy (eV per cell): -40.12

---

# 2
Density functional theory data (PBE) for an optimized crystal structure of CsCaNbCl2.

```
CsCaNbCl2
1.0
5.336 0.000 0.000
0.000 7.084 0.000
0.000 0.000 5.336
Cs Nb Ca Cl
1 1 1 2
Cartesian
0.000 3.542 0.000
0.000 0.000 0.000
2.668 3.542 2.668
0.000 0.000 2.668
2.668 0.000 0.000
```

## Properties
DOS at the Fermi energy (states/eV per atom): 0.439
Space group: P4/mmm
Formation energy from raw total energies (eV per atom): 0.0929
Total energy (eV per cell): -16.15

---

# 3
Density functional theory data (PBE) for an optimized crystal structure of CsCa2NdCl8.

```
CsCa2NdCl8
1.0
6.786 0.026 -0.002
0.084 6.585 -0.003
0.010 0.016 8.983
Cs Ca Nd Cl
1 2 1 8
Cartesian
0.005 0.008 4.492
3.443 3.317 6.694
3.437 3.310 2.284
0.000 0.000 0.000
1.270 4.958 1.852
4.664 4.845 8.979
5.599 1.655 1.851
5.610 1.669 7.126
2.216 1.782 -0.001
1.281 4.972 7.128
4.182 4.768 4.486
2.698 1.858 4.493
```

## Properties
DOS at the Fermi energy (states/eV per atom): 0.000
Space group: P-1
Formation energy from raw total energies (eV per atom): -2.2407
Total energy (eV per cell): -51.29

---

# 4
Density functional theory data (PBE) for an optimized crystal structure of CsCaNiCl6.

```
CsCaNiCl6
1.0
-6.543 0.277 -2.300
-1.721 -2.418 -5.873
-1.786 -6.811 3.106
Cs Ca Ni Cl
1 1 1 6
Cartesian
-3.534 -9.184 -2.685
-6.444 -4.763 -3.767
-3.644 -4.125 -1.183
-1.433 -2.845 -1.293
-3.489 -4.583 1.003
-5.787 -5.517 -1.278
-2.495 -6.009 -1.623
-3.931 -3.660 -3.366
-4.685 -2.210 -0.674
```

## Properties
DOS at the Fermi energy (states/eV per atom): 0.008
Space group: C2
Formation energy from raw total energies (eV per atom): -1.4375
Total energy (eV per cell): -32.65

---

# 5
Density functional theory data (PBE) for an optimized crystal structure of CsCaNi2Cl8.

```
CsCaNi2Cl8
1.0
-4.227 -1.846 4.637
5.508 -3.398 -0.944
4.676 5.759 6.557
Cs Ca Ni Cl
1 1 2 8
Cartesian
0.000 0.000 0.000
2.338 2.880 3.278
0.264 -0.828 4.524
5.693 1.343 5.725
6.719 2.607 7.164
1.913 0.150 3.403
-1.257 0.614 5.256
-0.762 -2.093 3.085
7.214 -0.099 4.994
4.045 0.365 6.846
4.963 2.708 4.134
0.995 -2.194 6.116
```

## Properties
DOS at the Fermi energy (states/eV per atom): 0.736
Space group: P-3
Formation energy from raw total energies (eV per atom): -1.1810
Total energy (eV per cell): -43.36

---

# 6
Density functional theory data (PBE) for an optimized crystal structure of CsCaNpCl6.

```
CsCaNpCl6
1.0
-5.922 4.118 1.087
0.541 -6.528 3.208
6.638 6.401 11.908
Cs Ca Np Cl
2 2 2 12
Cartesian
0.000 0.000 0.000
3.319 3.201 5.954
0.046 -1.379 5.478
1.211 5.370 10.725
-2.108 2.170 4.771
3.365 1.821 11.432
-2.363 -0.543 4.419
-4.728 2.582 4.057
2.594 -0.813 11.325
5.986 1.409 12.145
0.292 1.349 5.827
-3.237 2.324 7.270
2.531 1.490 14.028
-1.337 4.804 4.877
4.495 1.667 8.932
-1.273 2.501 2.175
0.966 2.642 10.376
3.620 4.534 11.784
```

## Properties
DOS at the Fermi energy (states/eV per atom): 0.948
Space group: P-31c
Formation energy from raw total energies (eV per atom): -2.0420
Total energy (eV per cell): -90.51

---

# 7
Density functional theory data (PBE) for an optimized crystal structure of CsCa2NpCl8.

```
CsCa2NpCl8
1.0
-2.803 1.024 -6.006
-0.621 -6.548 -0.955
-8.098 0.203 3.806
Cs Ca Np Cl
1 2 1 8
Cartesian
-4.049 0.102 1.903
-7.754 -2.609 -0.640
-3.768 -2.711 -2.514
0.000 0.000 0.000
-2.602 -4.670 -0.965
-10.444 -3.899 -0.948
-4.133 -0.766 -4.434
-8.919 -0.650 -2.190
-1.077 -1.422 -2.206
-7.389 -4.554 1.279
-6.180 -4.015 -2.397
-5.341 -1.305 -0.758
```

## Properties
DOS at the Fermi energy (states/eV per atom): 0.449
Space group: P-1
Formation energy from raw total energies (eV per atom): -2.0543
Total energy (eV per cell): -57.22

---

# 8
Density functional theory data (PBE) for an optimized crystal structure of Cs2CaCl6O.

```
Cs2CaCl6O
1.0
-5.903 -2.532 -2.804
2.137 -6.527 1.396
-4.706 -4.239 4.978
Cs Ca O Cl
2 1 1 6
Cartesian
-6.246 -5.651 0.735
-2.226 -7.648 2.835
0.000 0.000 0.000
-1.883 -4.530 -0.704
-3.537 -4.359 2.625
-4.935 -8.939 0.946
-1.068 -2.570 -0.399
-2.697 -6.489 -1.008
-3.622 -3.666 -1.612
-0.144 -5.394 0.204
```

## Properties
DOS at the Fermi energy (states/eV per atom): 0.000
Space group: I4/mmm
Formation energy from raw total energies (eV per atom): -1.2283
Total energy (eV per cell): -32.03

---

# 9
Density functional theory data (PBE) for an optimized crystal structure of CsCaClO2.

```
CsCaClO2
1.0
-3.930 2.132 -1.096
-4.295 -8.905 -1.923
-1.376 -0.283 4.383
Cs Ca O Cl
1 1 2 1
Cartesian
-2.147 -4.453 -0.962
0.000 0.000 0.000
-0.688 -0.141 2.192
-1.965 1.066 -0.548
-4.801 -3.528 0.682
```

## Properties
DOS at the Fermi energy (states/eV per atom): 0.679
Space group: P4/mmm
Formation energy from raw total energies (eV per atom): -1.2116
Total energy (eV per cell): -20.68

---

# 10
Density functional theory data (PBE) for an optimized crystal structure of Cs2CaOsCl6.

```
Cs2CaOsCl6
1.0
7.322 0.000 0.000
0.000 7.322 0.000
3.661 3.661 5.177
Cs Ca Os Cl
2 1 1 6
Cartesian
7.322 3.661 2.589
3.661 7.322 2.589
3.661 3.661 0.000
0.000 0.000 0.000
3.661 3.661 2.745
7.322 7.322 2.433
1.720 1.720 0.000
5.601 5.601 0.000
5.601 1.720 0.000
1.720 5.601 0.000
```

## Properties
DOS at the Fermi energy (states/eV per atom): 0.000
Space group: Fm-3m
Formation energy from raw total energies (eV per atom): -1.4267
Total energy (eV per cell): -40.29

---

# 11
Density functional theory data (PBE) for an optimized crystal structure of CsCaPCl2.

```
CsCaPCl2
1.0
5.512 0.000 0.000
0.000 5.512 0.000
0.000 0.000 5.835
Cs P Ca Cl
1 1 1 2
Cartesian
2.756 2.756 2.918
0.000 0.000 2.918
0.000 0.000 0.000
0.000 2.756 0.000
2.756 0.000 0.000
```

## Properties
DOS at the Fermi energy (states/eV per atom): 0.090
Space group: P4/mmm
Formation energy from raw total energies (eV per atom): -1.2643
Total energy (eV per cell): -18.28

---

# 12
Density functional theory data (PBE) for an optimized crystal structure of CsCaP2Cl.

```
CsCaP2Cl
1.0
-2.453 4.238 2.358
-2.624 1.063 -4.640
-4.502 -3.568 1.729
Cs P Ca Cl
1 2 1 1
Cartesian
0.000 0.000 0.000
-1.312 0.531 -2.320
-1.227 2.119 1.179
-4.790 0.866 -0.276
-2.251 -1.784 0.865
```

## Properties
DOS at the Fermi energy (states/eV per atom): 1.087
Space group: P4/mmm
Formation energy from raw total energies (eV per atom): 0.5852
Total energy (eV per cell): -12.60

---

no.,magnetization (μB per atom)
1,0.05
2,0.76
3,0.00
4,0.11
5,0.42
6,0.44
7,0.33
8,0.00
9,0.40
10,0.00
11,0.40
12,0.21